Record 1
Computed, not measured: a relaxed Nd2YGa3Cu2Ni crystal at the PBE-GGA level of DFT.

Cell and atoms, written as POSCAR:
```
Nd2YGa3Cu2Ni
1.0
-2.300 1.448 3.026
1.483 -5.764 3.885
4.099 5.797 0.341
Nd Ni Ga Cu Y
2 1 3 2 1
Direct
0.000 0.411 0.001
0.000 0.001 0.411
0.000 0.996 0.996
0.500 0.766 0.995
0.500 0.233 0.233
0.500 0.995 0.766
0.500 0.341 0.665
0.500 0.665 0.341
0.000 0.591 0.591
```

## Properties
- Magnetization: 0.00 μB per cell
- Space group: No. 38
- Energy: -4.72 eV per atom

Record 2
Computed, not measured: a relaxed PrNd2Ga2Cu4 crystal at the PBE-GGA level of DFT.

Cell and atoms, written as POSCAR:
```
PrNd2Ga2Cu4
1.0
-2.349 0.484 5.065
-1.367 -3.536 4.128
7.992 1.440 2.199
Nd Cu Ga Pr
2 4 2 1
Direct
0.625 0.625 0.377
0.375 0.375 0.623
0.269 0.269 0.923
0.081 0.081 0.638
0.919 0.919 0.362
0.731 0.731 0.077
0.680 0.680 0.774
0.320 0.320 0.226
0.000 0.000 0.000
```

## Properties
- Magnetization: 0.03 μB per cell
- Space group: No. 12
- Energy: -4.25 eV per atom

Record 3
Computed, not measured: a relaxed Pr2NdGa2Cu4 crystal at the PBE-GGA level of DFT.

Cell and atoms, written as POSCAR:
```
Pr2NdGa2Cu4
1.0
0.606 1.410 -5.421
-2.501 -1.454 -4.834
-5.265 6.188 2.324
Ga Pr Nd Cu
2 2 1 4
Direct
0.320 0.320 0.225
0.680 0.680 0.775
0.625 0.625 0.375
0.375 0.375 0.625
0.000 0.000 0.000
0.731 0.731 0.075
0.919 0.919 0.359
0.081 0.081 0.641
0.269 0.269 0.925
```

## Properties
- Magnetization: 0.03 μB per cell
- Space group: No. 12
- Energy: -4.24 eV per atom

Record 4
Computed, not measured: a relaxed NdGaCuPt3 crystal at the PBE-GGA level of DFT.

Cell and atoms, written as POSCAR:
```
NdGaCuPt3
1.0
5.549 0.000 0.000
-2.774 4.805 0.000
0.000 0.000 4.028
Pt Cu Nd Ga
3 1 1 1
Direct
0.330 0.165 0.500
0.835 0.670 0.500
0.835 0.165 0.500
0.000 0.000 0.000
0.333 0.667 0.000
0.667 0.333 0.000
```

## Properties
- Magnetization: 0.00 μB per cell
- Space group: No. 187
- Energy: -5.74 eV per atom

Record 5
Computed, not measured: a relaxed NdGa2CuPt crystal at the PBE-GGA level of DFT.

Cell and atoms, written as POSCAR:
```
NdGa2CuPt
1.0
-0.216 -2.726 -3.152
4.112 -0.652 0.282
-1.707 -7.805 6.869
Cu Pt Ga Nd
2 2 4 2
Direct
0.000 0.500 0.367
0.500 0.000 0.633
0.500 0.500 0.000
0.000 0.000 0.000
0.500 0.500 0.500
0.500 0.000 0.858
0.000 0.000 0.500
0.000 0.500 0.142
0.000 0.500 0.746
0.500 0.000 0.254
```

## Properties
- Magnetization: 0.03 μB per cell
- Space group: No. 129
- Energy: -4.80 eV per atom
- Energy above the most stable polymorph in this dataset: 0.15 eV per formula unit

Record 6
Computed, not measured: a relaxed NdGa2CuPt crystal at the PBE-GGA level of DFT.

Cell and atoms, written as POSCAR:
```
NdGa2CuPt
1.0
-1.753 -2.315 -3.174
3.926 -1.163 -1.320
-0.351 -8.147 6.137
Ga Pt Cu Nd
4 2 2 2
Direct
0.000 0.500 0.880
0.500 0.500 0.500
0.500 0.000 0.120
0.000 0.000 0.500
0.000 0.500 0.635
0.500 0.000 0.365
0.000 0.000 0.000
0.500 0.500 0.000
0.500 0.000 0.753
0.000 0.500 0.247
```

## Properties
- Magnetization: 0.01 μB per cell
- Space group: No. 129
- Energy: -4.83 eV per atom
- Energy above the most stable polymorph in this dataset: 0.00 eV per formula unit